No. 1
Density functional theory data (SCAN) for a PBEsol-optimized structure of TcAsCl3.

offset from the most stable computed form	282	meV per atom
E_form (uncorrected)	475.0	meV/atom
E	-76.8	eV for the cell shown

Geometry as POSCAR:
```
TcAsCl3
1.0
5.0159 0.0000 0.0000
0.0000 5.0159 0.0000
0.0000 0.0000 5.0159
Tc As Cl
1 1 3
direct
0.0000 0.0000 0.0000 Tc
0.5000 0.5000 0.5000 As
0.0000 0.5000 0.5000 Cl
0.5000 0.0000 0.5000 Cl
0.5000 0.5000 0.0000 Cl
```

---

No. 2
Density functional theory data (SCAN) for a PBEsol-optimized structure of MgZr2H2.

E	-74.9	eV for the cell shown

Geometry as POSCAR:
```
MgZr2H2
1.0
-1.8711 1.8711 4.9599
1.8711 -1.8711 4.9599
1.8711 1.8711 -4.9599
Mg Zr H
1 2 2
direct
0.0000 0.0000 0.0000 Mg
0.3396 0.3396 0.0000 Zr
0.6604 0.6604 0.0000 Zr
0.2500 0.7500 0.5000 H
0.7500 0.2500 0.5000 H
```

---

No. 3
Density functional theory data (SCAN) for a PBEsol-optimized structure of PdPb2Se2Cl2O6.

E_form (uncorrected)	-1029.5	meV/atom
E	-582.4	eV for the cell shown

Geometry as POSCAR:
```
PdPb2Se2Cl2O6
1.0
8.1493 0.0000 0.0000
0.0000 5.3108 0.0000
-7.1456 0.0000 10.8171
Pd Pb Se Cl O
2 4 4 4 12
direct
0.0000 0.0000 0.0000 Pd
0.0000 0.5000 0.5000 Pd
0.3346 0.0555 0.8066 Pb
0.3346 0.4445 0.3066 Pb
0.6654 0.5555 0.6934 Pb
0.6654 0.9445 0.1934 Pb
0.2881 0.0338 0.5244 Se
0.2881 0.4662 0.0244 Se
0.7119 0.5338 0.9756 Se
0.7119 0.9662 0.4756 Se
0.0546 0.5917 0.6885 Cl
0.0546 0.9083 0.1885 Cl
0.9454 0.0917 0.8115 Cl
0.9454 0.4083 0.3115 Cl
0.1668 0.1997 0.5810 O
0.1668 0.3003 0.0810 O
0.4374 0.2380 0.0242 O
0.4374 0.2620 0.5242 O
0.4380 0.6188 0.1634 O
0.4380 0.8812 0.6634 O
0.5620 0.1188 0.3366 O
0.5620 0.3812 0.8366 O
0.5626 0.7380 0.4758 O
0.5626 0.7620 0.9758 O
0.8332 0.6997 0.9190 O
0.8332 0.8003 0.4190 O
```

---

No. 4
Density functional theory data (SCAN) for a PBEsol-optimized structure of Sr2Au3.

E	-256.3	eV for the cell shown
energy of formation	-415	kJ/mol of formula units

Geometry as POSCAR:
```
Sr2Au3
1.0
2.3512 1.3575 7.0176
-2.3512 1.3575 7.0176
0.0000 -2.7150 7.0176
Sr Au
2 3
direct
0.0886 0.0886 0.0886 Sr
0.9114 0.9114 0.9114 Sr
0.3400 0.3400 0.3400 Au
0.5000 0.5000 0.5000 Au
0.6600 0.6600 0.6600 Au
```

---

No. 5
Density functional theory data (SCAN) for a PBEsol-optimized structure of LiNb13O33.

E_form (uncorrected)	-2700.8	meV/atom
E	-765.6	eV for the cell shown

Geometry as POSCAR:
```
LiNb13O33
1.0
11.2925 -1.9203 0.0000
11.2925 1.9203 0.0000
-0.5086 0.0000 15.5292
Li Nb O
1 13 33
direct
0.0000 0.0000 0.0000 Li
0.2075 0.2075 0.1247 Nb
0.2749 0.2749 0.3624 Nb
0.3443 0.3443 0.5955 Nb
0.3643 0.3643 0.0309 Nb
0.4133 0.4133 0.8254 Nb
0.4296 0.4296 0.2705 Nb
0.5000 0.5000 0.5000 Nb
0.5704 0.5704 0.7295 Nb
0.5867 0.5867 0.1746 Nb
0.6357 0.6357 0.9691 Nb
0.6557 0.6557 0.4045 Nb
0.7251 0.7251 0.6376 Nb
0.7925 0.7925 0.8753 Nb
0.0000 0.0000 0.5000 O
0.0711 0.0711 0.7476 O
0.1096 0.1096 0.1610 O
0.1521 0.1521 0.9972 O
0.1799 0.1799 0.3993 O
0.2326 0.2326 0.2357 O
0.2495 0.2495 0.6377 O
0.2778 0.2778 0.0684 O
0.3047 0.3047 0.4743 O
0.3193 0.3193 0.8897 O
0.3465 0.3465 0.3051 O
0.3714 0.3714 0.7144 O
0.4008 0.4008 0.1346 O
0.4180 0.4180 0.5489 O
0.4341 0.4341 0.9570 O
0.4652 0.4652 0.3801 O
0.4888 0.4888 0.7909 O
0.5112 0.5112 0.2091 O
0.5348 0.5348 0.6199 O
0.5659 0.5659 0.0430 O
0.5820 0.5820 0.4511 O
0.5992 0.5992 0.8654 O
0.6286 0.6286 0.2856 O
0.6535 0.6535 0.6949 O
0.6807 0.6807 0.1103 O
0.6953 0.6953 0.5257 O
0.7222 0.7222 0.9316 O
0.7505 0.7505 0.3623 O
0.7674 0.7674 0.7643 O
0.8201 0.8201 0.6007 O
0.8479 0.8479 0.0028 O
0.8904 0.8904 0.8390 O
0.9289 0.9289 0.2524 O
```

---

No. 6
Density functional theory data (SCAN) for a PBEsol-optimized structure of Ba2MgUO6.

E_form (uncorrected)	-3318.5	meV/atom
E	-258.2	eV for the cell shown

Geometry as POSCAR:
```
Ba2MgUO6
1.0
0.0000 4.1831 4.1831
4.1831 0.0000 4.1831
4.1831 4.1831 0.0000
Ba Mg U O
2 1 1 6
direct
0.2500 0.2500 0.2500 Ba
0.7500 0.7500 0.7500 Ba
0.0000 0.0000 0.0000 Mg
0.5000 0.5000 0.5000 U
0.2518 0.2518 0.7482 O
0.2518 0.7482 0.2518 O
0.2518 0.7482 0.7482 O
0.7482 0.2518 0.2518 O
0.7482 0.2518 0.7482 O
0.7482 0.7482 0.2518 O
```

---

No. 7
Density functional theory data (SCAN) for a PBEsol-optimized structure of Li4Ni7O2F14.

E_form (uncorrected)	-2324.9	meV/atom
E	-247.6	eV for the cell shown

Geometry as POSCAR:
```
Li4Ni7O2F14
1.0
4.9854 -2.9646 0.0000
4.9854 2.9646 0.0000
-3.3195 0.0000 9.8824
Li Ni O F
4 7 2 14
direct
0.0731 0.0731 0.2072 Li
0.4199 0.4199 0.2882 Li
0.5801 0.5801 0.7118 Li
0.9269 0.9269 0.7928 Li
0.0000 0.5000 0.0000 Ni
0.0000 0.5000 0.5000 Ni
0.2438 0.2438 0.7426 Ni
0.5000 0.0000 0.0000 Ni
0.5000 0.0000 0.5000 Ni
0.5000 0.5000 0.0000 Ni
0.7562 0.7562 0.2574 Ni
0.3606 0.3606 0.0894 O
0.6394 0.6394 0.9106 O
0.1072 0.6087 0.3693 F
0.1253 0.1253 0.8648 F
0.1330 0.6054 0.8637 F
0.1383 0.1383 0.3939 F
0.3691 0.3691 0.6214 F
0.3913 0.8928 0.6307 F
0.3946 0.8670 0.1363 F
0.6054 0.1330 0.8637 F
0.6087 0.1072 0.3693 F
0.6309 0.6309 0.3786 F
0.8617 0.8617 0.6061 F
0.8670 0.3946 0.1363 F
0.8747 0.8747 0.1352 F
0.8928 0.3913 0.6307 F
```

---

No. 8
Density functional theory data (SCAN) for a PBEsol-optimized structure of BaAlPt2.

E	-188.1	eV for the cell shown
energy of formation	-40	kJ/mol of formula units

Geometry as POSCAR:
```
BaAlPt2
1.0
-2.0953 2.0953 4.6826
2.0953 -2.0953 4.6826
2.0953 2.0953 -4.6826
Ba Al Pt
1 1 2
direct
0.0000 0.0000 0.0000 Ba
0.2500 0.7500 0.5000 Al
0.5000 0.5000 0.0000 Pt
0.7500 0.2500 0.5000 Pt
```

---

No. 9
Density functional theory data (SCAN) for a PBEsol-optimized structure of MoIr2Ru.

offset from the most stable computed form	103	meV per atom
E	-212.8	eV for the cell shown
energy of formation	-85	kJ/mol of formula units

Geometry as POSCAR:
```
MoIr2Ru
1.0
2.7026 0.0000 0.0000
0.0000 3.8560 0.0000
0.0000 0.0000 5.4125
Mo Ir Ru
1 2 1
direct
0.0000 0.0000 0.0000 Mo
0.5000 0.5000 0.2553 Ir
0.5000 0.5000 0.7447 Ir
0.0000 0.0000 0.5000 Ru
```

---

No. 10
Density functional theory data (SCAN) for a PBEsol-optimized structure of Li2VF5.

offset from the most stable computed form	0	meV per atom
E_form (uncorrected)	-3210.0	meV/atom
E	-131.3	eV for the cell shown

Geometry as POSCAR:
```
Li2VF5
1.0
5.0020 -2.5298 0.0000
5.0020 2.5298 0.0000
-2.5744 0.0000 6.5713
Li V F
4 2 10
direct
0.1173 0.1536 0.2282 Li
0.1536 0.1173 0.7282 Li
0.8464 0.8827 0.2718 Li
0.8827 0.8464 0.7718 Li
0.5000 0.5000 0.0000 V
0.5000 0.5000 0.5000 V
0.0906 0.7446 0.5478 F
0.1726 0.4590 0.8537 F
0.2554 0.9094 0.9522 F
0.3232 0.6768 0.2500 F
0.4590 0.1726 0.3537 F
0.5410 0.8274 0.6463 F
0.6768 0.3232 0.7500 F
0.7446 0.0906 0.0478 F
0.8274 0.5410 0.1463 F
0.9094 0.2554 0.4522 F
```

---

No. 11
Density functional theory data (SCAN) for a PBEsol-optimized structure of KCaAg2.

offset from the most stable computed form	0	meV per atom
E	-81.2	eV for the cell shown
energy of formation	-45	kJ/mol of formula units

Geometry as POSCAR:
```
KCaAg2
1.0
3.7779 0.0000 0.0000
0.0000 3.7791 0.0000
-0.0093 0.0000 7.8505
K Ca Ag
1 1 2
direct
0.0000 0.0000 0.0000 K
0.0000 0.0000 0.5000 Ca
0.4997 0.5000 0.3086 Ag
0.5003 0.5000 0.6914 Ag
```

---

No. 12
Density functional theory data (SCAN) for a PBEsol-optimized structure of TaTeMoN2.

E_form (uncorrected)	561.8	meV/atom
E	-154.5	eV for the cell shown

Geometry as POSCAR:
```
TaTeMoN2
1.0
4.0031 0.0000 0.0000
0.0000 4.0031 0.0000
0.0000 0.0000 5.6608
Ta Te Mo N
1 1 1 2
direct
0.0000 0.0000 0.0000 Ta
0.0000 0.0000 0.5000 Te
0.5000 0.5000 0.5000 Mo
0.0000 0.5000 0.0000 N
0.5000 0.0000 0.0000 N
```

---

No. 13
Density functional theory data (SCAN) for a PBEsol-optimized structure of LaYSb2.

offset from the most stable computed form	0	meV per atom
E_form (uncorrected)	-1356.6	meV/atom
E	-150.9	eV for the cell shown

Geometry as POSCAR:
```
LaYSb2
1.0
2.2244 1.2842 7.2340
-2.2244 1.2842 7.2340
0.0000 -2.5685 7.2340
La Y Sb
1 1 2
direct
0.0000 0.0000 0.0000 La
0.5000 0.5000 0.5000 Y
0.2456 0.2456 0.2456 Sb
0.7544 0.7544 0.7544 Sb
```

---

No. 14
Density functional theory data (SCAN) for a PBEsol-optimized structure of RbTaSb2.

offset from the most stable computed form	417	meV per atom
E_form (uncorrected)	598.7	meV/atom
E	-159.4	eV for the cell shown

Geometry as POSCAR:
```
RbTaSb2
1.0
0.0000 3.6664 3.6664
3.6664 0.0000 3.6664
3.6664 3.6664 0.0000
Rb Ta Sb
1 1 2
direct
0.0000 0.0000 0.0000 Rb
0.5000 0.5000 0.5000 Ta
0.2500 0.2500 0.2500 Sb
0.7500 0.7500 0.7500 Sb
```

---

No. 15
Density functional theory data (SCAN) for a PBEsol-optimized structure of ZnIrAu.

offset from the most stable computed form	371	meV per atom
E	-152.5	eV for the cell shown
energy of formation	125	kJ/mol of formula units

Geometry as POSCAR:
```
ZnIrAu
1.0
0.0000 2.9937 2.9937
2.9937 0.0000 2.9937
2.9937 2.9937 0.0000
Zn Ir Au
1 1 1
direct
0.0000 0.0000 0.0000 Zn
0.7500 0.7500 0.7500 Ir
0.5000 0.5000 0.5000 Au
```

---

No. 16
Density functional theory data (SCAN) for a PBEsol-optimized structure of CsB10H13C.

E	-694.7	eV for the cell shown

Geometry as POSCAR:
```
CsB10H13C
1.0
7.9505 0.0000 0.0000
0.0000 10.4418 0.0000
-0.6579 0.0000 11.9746
Cs B H C
4 40 52 4
direct
0.1540 0.2428 0.0125 Cs
0.1540 0.2572 0.5125 Cs
0.8460 0.7428 0.4875 Cs
0.8460 0.7572 0.9875 Cs
0.0910 0.6257 0.7416 B
0.0910 0.8743 0.2416 B
0.1833 0.5674 0.8689 B
0.1833 0.9326 0.3689 B
0.1842 0.0301 0.2497 B
0.1842 0.4699 0.7497 B
0.2185 0.5689 0.6347 B
0.2185 0.9311 0.1347 B
0.2263 0.7281 0.8256 B
0.2263 0.7719 0.3256 B
0.2273 0.7305 0.6728 B
0.2273 0.7695 0.1728 B
0.3631 0.0199 0.3421 B
0.3631 0.4801 0.8421 B
0.3899 0.0203 0.1972 B
0.3899 0.4797 0.6972 B
0.4204 0.6358 0.6436 B
0.4204 0.8642 0.1436 B
0.4951 0.0921 0.7157 B
0.4951 0.4079 0.2157 B
0.5049 0.5921 0.7843 B
0.5049 0.9079 0.2843 B
0.5796 0.1358 0.8564 B
0.5796 0.3642 0.3564 B
0.6101 0.5203 0.3028 B
0.6101 0.9797 0.8028 B
0.6369 0.5199 0.1579 B
0.6369 0.9801 0.6579 B
0.7727 0.2305 0.8272 B
0.7727 0.2695 0.3272 B
0.7737 0.2281 0.6744 B
0.7737 0.2719 0.1744 B
0.7815 0.0689 0.8653 B
0.7815 0.4311 0.3653 B
0.8158 0.5301 0.2503 B
0.8158 0.9699 0.7503 B
0.8167 0.0674 0.6311 B
0.8167 0.4326 0.1311 B
0.9090 0.1257 0.7584 B
0.9090 0.3743 0.2584 B
0.0599 0.1369 0.7713 H
0.0599 0.3631 0.2713 H
0.0997 0.1256 0.2413 H
0.0997 0.3744 0.7413 H
0.1064 0.5480 0.9510 H
0.1064 0.9520 0.4510 H
0.1607 0.5473 0.5413 H
0.1607 0.9527 0.0413 H
0.1654 0.6875 0.1129 H
0.1654 0.8125 0.6129 H
0.1732 0.6858 0.3805 H
0.1732 0.8142 0.8805 H
0.3134 0.7057 0.2482 H
0.3134 0.7943 0.7482 H
0.3471 0.0769 0.6921 H
0.3471 0.4231 0.1921 H
0.4187 0.1024 0.4034 H
0.4187 0.3976 0.9034 H
0.4232 0.6537 0.9649 H
0.4232 0.8463 0.4649 H
0.4513 0.1112 0.1523 H
0.4513 0.3888 0.6523 H
0.4980 0.2013 0.7800 H
0.4980 0.2987 0.2800 H
0.5003 0.1445 0.9387 H
0.5003 0.3555 0.4387 H
0.4997 0.6445 0.5613 H
0.4997 0.8555 0.0613 H
0.5020 0.7013 0.7200 H
0.5020 0.7987 0.2200 H
0.5487 0.6112 0.3477 H
0.5487 0.8888 0.8477 H
0.5768 0.1537 0.5351 H
0.5768 0.3463 0.0351 H
0.5813 0.6024 0.0966 H
0.5813 0.8976 0.5966 H
0.6529 0.5769 0.8079 H
0.6529 0.9231 0.3079 H
0.6866 0.2057 0.2518 H
0.6866 0.2943 0.7518 H
0.8268 0.1858 0.1195 H
0.8268 0.3142 0.6195 H
0.8346 0.1875 0.3871 H
0.8346 0.3125 0.8871 H
0.8393 0.0473 0.9587 H
0.8393 0.4527 0.4587 H
0.8936 0.0480 0.5490 H
0.8936 0.4520 0.0490 H
0.9003 0.6256 0.2587 H
0.9003 0.8744 0.7587 H
0.9401 0.6369 0.7287 H
0.9401 0.8631 0.2287 H
0.3744 0.6339 0.8796 C
0.3744 0.8661 0.3796 C
0.6256 0.1339 0.6204 C
0.6256 0.3661 0.1204 C
```

---

No. 17
Density functional theory data (SCAN) for a PBEsol-optimized structure of SnOsSe2Br.

E_form (uncorrected)	448.0	meV/atom
E	-165.2	eV for the cell shown

Geometry as POSCAR:
```
SnOsSe2Br
1.0
4.8209 0.0000 0.0000
0.0000 4.8209 0.0000
0.0000 0.0000 5.0814
Sn Os Se Br
1 1 2 1
direct
0.0000 0.0000 0.0000 Sn
0.5000 0.5000 0.5000 Os
0.0000 0.5000 0.5000 Se
0.5000 0.0000 0.5000 Se
0.5000 0.5000 0.0000 Br
```

---

No. 18
Density functional theory data (SCAN) for a PBEsol-optimized structure of TcAsCl3.

offset from the most stable computed form	0	meV per atom
E_form (uncorrected)	193.0	meV/atom
E	-78.2	eV for the cell shown

Geometry as POSCAR:
```
TcAsCl3
1.0
4.7510 0.0000 0.0000
0.0000 4.7510 0.0000
0.0000 0.0000 4.7510
Tc As Cl
1 1 3
direct
0.0000 0.0000 0.0000 Tc
0.5000 0.5000 0.5000 As
0.0000 0.0000 0.5000 Cl
0.0000 0.5000 0.0000 Cl
0.5000 0.0000 0.0000 Cl
```